A relaxed structure of Co2RuRh, computed with PBE-GGA.

Geometry as CIF:
```
data_Co2RuRh
_cell_length_a 3.648
_cell_length_b 3.648
_cell_length_c 7.480
_cell_angle_alpha 90.00
_cell_angle_beta 90.00
_cell_angle_gamma 90.00
_space_group_name_H-M_alt 'I -4 m 2'
_space_group_IT_number 119
_space_group_name_Hall 'I -4 -2'
loop_
_atom_site_label
_atom_site_type_symbol
_atom_site_fract_x
_atom_site_fract_y
_atom_site_fract_z
Co1 Co 0.000 0.000 0.000
Co2 Co 0.000 0.500 0.250
Ru1 Ru 0.000 0.000 0.500
Rh1 Rh 0.000 0.500 0.750
```

Properties
M_tot: 4.94 μB/cell
E_form: 112 meV per atom
density of states at the Fermi level: 11.58 states/eV/cell